Record 1
Compound: Ca2CrAsPd
Source: Alexandria
Functional: PBE-GGA
Structure: optimized geometry

Results
Crystal system: tetragonal
Total magnetic moment (μB per formula unit): 4.94
Raw total energy (eV for the cell shown): -23.35
Calculated volume (Å³/atom): 28.54
ΔH_f (0 K) (eV per atom): 0.02

Unit cell a=5.537 b=5.537 c=4.654 alpha=90.00 beta=90.00 gamma=90.00
Space group P4/mmm (No. 123)
Asymmetric unit:
Ca 0.000 0.500 0.000 [2 per cell]
Cr 0.000 0.000 0.500 [1 per cell]
As 0.500 0.500 0.500 [1 per cell]
Pd 0.500 0.500 0.000 [1 per cell]

Record 2
Compound: CaCrAs2Pd5
Source: Alexandria
Functional: PBE-GGA
Structure: optimized geometry

Results
Crystal system: tetragonal
Total magnetic moment (μB per formula unit): 4.68
Raw total energy (eV for the cell shown): -48.38
Calculated volume (Å³/atom): 22.20
ΔH_f (0 K) (eV per atom): -0.17

Unit cell a=4.078 b=4.078 c=12.015 alpha=90.00 beta=90.00 gamma=90.00
Space group P4/mmm (No. 123)
Asymmetric unit:
Ca 0.000 0.000 0.000 [1 per cell]
Cr 0.500 0.500 0.500 [1 per cell]
As 0.500 0.500 0.293 [2 per cell]
Pd 0.000 0.500 0.180 [4 per cell]
Pd 0.500 0.500 0.000 [1 per cell]

Record 3
Compound: Ca2CrAsPt
Source: Alexandria
Functional: PBE-GGA
Structure: optimized geometry

Results
Crystal system: tetragonal
Total magnetic moment (μB per formula unit): 0.38
Raw total energy (eV for the cell shown): -21.85
Calculated volume (Å³/atom): 28.62
ΔH_f (0 K) (eV per atom): 0.49

Unit cell a=5.562 b=5.562 c=4.625 alpha=90.00 beta=90.00 gamma=90.00
Space group P4/mmm (No. 123)
Asymmetric unit:
Ca 0.000 0.500 0.000 [2 per cell]
Cr 0.000 0.000 0.500 [1 per cell]
As 0.500 0.500 0.500 [1 per cell]
Pt 0.500 0.500 0.000 [1 per cell]

Record 4
Compound: CaCrAsSe2
Source: Alexandria
Functional: PBE-GGA
Structure: optimized geometry

Results
Crystal system: tetragonal
Total magnetic moment (μB per formula unit): 2.34
Raw total energy (eV for the cell shown): -25.71
Calculated volume (Å³/atom): 23.40
Energy relative to the elements, uncorrected (eV/atom): -0.493

Unit cell a=5.019 b=5.019 c=4.644 alpha=90.00 beta=90.00 gamma=90.00
Space group P4/mmm (No. 123)
Asymmetric unit:
Ca 0.000 0.000 0.000 [1 per cell]
Cr 0.500 0.500 0.500 [1 per cell]
As 0.500 0.500 0.000 [1 per cell]
Se 0.000 0.500 0.500 [2 per cell]

Record 5
Compound: CaCrAsSe2
Source: Alexandria
Functional: PBE-GGA
Structure: optimized geometry

Results
Crystal system: tetragonal
Total magnetic moment (μB per formula unit): 3.41
Raw total energy (eV for the cell shown): -20.53
Calculated volume (Å³/atom): 31.00
Energy relative to the elements, uncorrected (eV/atom): 0.542

Unit cell a=5.377 b=5.377 c=5.361 alpha=90.00 beta=90.00 gamma=90.00
Space group P4/mmm (No. 123)
Asymmetric unit:
Ca 0.000 0.000 0.000 [1 per cell]
Cr 0.500 0.500 0.500 [1 per cell]
As 0.000 0.000 0.500 [1 per cell]
Se 0.000 0.500 0.000 [2 per cell]

Record 6
Compound: Cs2Ca2As
Source: Alexandria
Functional: PBE-GGA
Structure: optimized geometry

Results
Crystal system: tetragonal
Total magnetic moment (μB per formula unit): 0.00
Raw total energy (eV for the cell shown): -22.96
Calculated volume (Å³/atom): 48.43
ΔH_f (0 K) (eV per atom): -0.22

Unit cell a=8.058 b=8.058 c=7.459 alpha=90.00 beta=90.00 gamma=90.00
Space group P4/mbm (No. 127)
Asymmetric unit:
Cs 0.192 0.308 0.000 [4 per cell]
Ca 0.177 0.677 0.500 [4 per cell]
As 0.000 0.000 0.500 [2 per cell]

Record 7
Compound: Cs3CaAs
Source: Alexandria
Functional: PBE-GGA
Structure: optimized geometry

Results
Crystal system: cubic
Total magnetic moment (μB per formula unit): 0.01
Raw total energy (eV for the cell shown): -5.57
Calculated volume (Å³/atom): 93.15
ΔH_f (0 K) (eV per atom): 0.73

Unit cell a=7.752 b=7.752 c=7.752 alpha=90.00 beta=90.00 gamma=90.00
Space group Pm-3m (No. 221)
Asymmetric unit:
Cs 0.000 0.000 0.500 [3 per cell]
Ca 0.000 0.000 0.000 [1 per cell]
As 0.500 0.500 0.500 [1 per cell]

Record 8
Compound: Cs2CaAs
Source: Alexandria
Functional: PBE-GGA
Structure: optimized geometry

Results
Crystal system: cubic
Total magnetic moment (μB per formula unit): 0.00
Raw total energy (eV for the cell shown): -31.19
Calculated volume (Å³/atom): 43.95
ΔH_f (0 K) (eV per atom): 0.14

Unit cell a=8.893 b=8.893 c=8.893 alpha=90.00 beta=90.00 gamma=90.00
Space group Fm-3m (No. 225)
Asymmetric unit:
Cs 0.250 0.250 0.250 [8 per cell]
Ca 0.000 0.000 0.000 [4 per cell]
As 0.000 0.000 0.500 [4 per cell]

Which formula does entry 3 have?
Ca2CrAsPt

The highest calculated volume belongs to which entry?
Cs3CaAs